[1]
# U2SnAu PBE optimized geometry
data_U2SnAu
_chemical_formula_sum 'U2 Sn1 Au1'
_cell_length_a 4.060
_cell_length_b 4.060
_cell_length_c 5.170
_cell_angle_alpha 90.00
_cell_angle_beta 90.00
_cell_angle_gamma 90.00
_symmetry_space_group_name_H-M 'P 4/m m m'
_symmetry_Int_Tables_number 123
_symmetry_space_group_name_Hall '-P 4 2'
loop_
_atom_site_label
_atom_site_fract_x
_atom_site_fract_y
_atom_site_fract_z
U1 0.000 0.500 0.000
Sn1 0.000 0.000 0.500
Au1 0.500 0.500 0.500
# crystal system	tetragonal
# Fermi-level density of states	7.2	states/eV per cell
# volume	85.2	Å³ per cell
# calculated formation energy	-8.3	kJ per mole of atoms

---

[2]
# BaZnRu2 PBE optimized geometry
data_BaZnRu2
_chemical_formula_sum 'Ba2 Zn2 Ru4'
_cell_length_a 6.087
_cell_length_b 9.276
_cell_length_c 3.070
_cell_angle_alpha 90.00
_cell_angle_beta 118.66
_cell_angle_gamma 90.00
_symmetry_space_group_name_H-M 'C 1 2/m 1'
_symmetry_Int_Tables_number 12
_symmetry_space_group_name_Hall '-C 2y'
loop_
_atom_site_label
_atom_site_fract_x
_atom_site_fract_y
_atom_site_fract_z
Ba1 0.000 0.000 0.000
Zn1 0.000 0.500 0.000
Ru1 0.250 0.250 0.500
# crystal system	monoclinic
# Fermi-level density of states	10.0	states/eV per cell
# volume	152.1	Å³ per cell
# calculated formation energy	82.4	kJ per mole of atoms